(1)
A geometry-optimized LiLa5Sm4 structure, computed with PBE.

Cell lengths 3.698, 3.698, 25.092 Å; angles 90.00, 90.00, 90.00 degrees
Sites, in units of the cell vectors:
Li 0.000 0.000 0.000
La 0.500 0.500 0.088
La 0.500 0.500 0.293
La 0.500 0.500 0.500
La 0.500 0.500 0.707
La 0.500 0.500 0.912
Sm 0.000 0.000 0.190
Sm 0.000 0.000 0.397
Sm 0.000 0.000 0.603
Sm 0.000 0.000 0.810

Properties
* energy relative to the elements: 0.33 eV per formula unit
* total magnetization: 0.00 μB per cell
* ρ: 6.304 g cm⁻³

***

(2)
A geometry-optimized Pa2NbSb structure, computed with PBE.

Cell lengths 4.662, 4.409, 4.409 Å; angles 90.00, 90.00, 90.00 degrees
Sites, in units of the cell vectors:
Sb 0.500 0.500 0.500
Nb 0.500 0.000 0.000
Pa 0.000 0.000 0.500
Pa 0.000 0.500 0.000

Properties
* total magnetization: 0.00 μB per cell
* ρ: 12.397 g cm⁻³
* polymorph energy (0 for the lowest one): 0.0000 eV per atom
* formation energy (no corrections): -0.8 eV/f.u.

***

(3)
A geometry-optimized La4Zn2Rh structure, computed with PBE.

Cell lengths 5.104, 6.396, 6.396 Å; angles 108.44, 90.00, 90.00 degrees
Sites, in units of the cell vectors:
La 0.000 0.738 0.738
La 0.000 0.262 0.262
La 0.500 0.000 0.500
La 0.500 0.500 0.000
Zn 0.000 0.758 0.242
Zn 0.000 0.242 0.758
Rh 0.500 0.500 0.500

Properties
* energy relative to the elements: -2.21 eV per formula unit
* total magnetization: 0.00 μB per cell
* ρ: 6.618 g cm⁻³

***

(4)
A geometry-optimized NdAgSn2Te4 structure, computed with PBE.

Cell lengths 4.480, 7.929, 7.684 Å; angles 70.12, 90.00, 90.00 degrees
Sites, in units of the cell vectors:
Nd 0.000 0.500 0.500
Ag 0.500 0.500 0.000
Sn 0.000 0.000 0.000
Sn 0.500 0.000 0.500
Te 0.000 0.738 0.761
Te 0.000 0.262 0.239
Te 0.500 0.749 0.250
Te 0.500 0.251 0.750

Properties
* total magnetization: 0.00 μB per cell
* ρ: 6.469 g cm⁻³
* formation energy (no corrections): -4.3 eV/f.u.

***

(5)
A geometry-optimized BeAgN structure, computed with PBE.

Cell lengths 4.748, 4.701, 2.958 Å; angles 89.89, 87.64, 90.07 degrees
Sites, in units of the cell vectors:
Be 0.134 0.547 0.876
Be 0.634 0.621 0.375
Ag 0.578 0.123 0.013
Ag 0.078 0.045 0.514
N 0.298 0.488 0.361
N 0.798 0.680 0.860

Properties
* total magnetization: 0.00 μB per cell
* ρ: 6.589 g cm⁻³
* formation energy (no corrections): -0.5 eV/f.u.

***

(6)
A geometry-optimized YZr2Ge2 structure, computed with PBE.

Cell lengths 7.099, 7.099, 5.683 Å; angles 109.76, 109.76, 98.66 degrees
Last column: magnetic moment on the atom in μB.
Sites, in units of the cell vectors:
Y 0.888 0.612 0.750  0.01
Y 0.112 0.388 0.250  0.01
Zr 0.226 0.931 0.517  0.22
Zr 0.431 0.726 0.017  0.22
Zr 0.774 0.069 0.483  0.22
Zr 0.569 0.274 0.983  0.22
Ge 0.173 0.327 0.750  -0.01
Ge 0.381 0.119 0.250  -0.01
Ge 0.619 0.881 0.750  -0.01
Ge 0.827 0.673 0.250  -0.01

Properties
* energy relative to the elements: -2.06 eV per formula unit
* total magnetization: 1.37 μB per cell
* ρ: 5.716 g cm⁻³
* polymorph energy (0 for the lowest one): 0.3179 eV per atom